Density functional theory data (PBE) for LaMnCuPt3 after structural relaxation.

As for the raw total energy: -6.448 eV/atom. The calculation puts the density of states at the Fermi level at 2.6 states/eV/f.u. For the theoretical density, the calculation gives 12.6 g/cm3. The crystal system is orthorhombic.

It has space group Cmcm (No. 63), with a = 5.7082 Å, b = 13.3973 Å, c = 5.7856 Å, α = 90.00°, β = 90.00° and γ = 90.00°. The asymmetric unit holds La at (0.0000, 0.1802, 0.2500), Mn at (0.0000, 0.1262, 0.7500), Cu at (0.0000, 0.3842, 0.2500), Pt at (0.0000, 0.3227, 0.7500) and Pt at (0.2487, 0.0000, 0.0000).